--- i ---
VASP calculation (SCAN) on La2InAs at its PBEsol-relaxed geometry.

- DOS(E_F) (states/eV/atom) = 1.04
- V (Å³ per atom) = 31.0

Geometry as CIF:
```
data_La2InAs
_chemical_formula_sum 'La2 In1 As1'
_space_group_name_H-M_alt 'P 4/m m m'
_space_group_IT_number 123
_space_group_name_Hall '-P 4 2'
_cell_length_a 4.451
_cell_length_b 4.451
_cell_length_c 6.258
_cell_angle_alpha 90.00
_cell_angle_beta 90.00
_cell_angle_gamma 90.00
loop_
_atom_site_label
_atom_site_type_symbol
_atom_site_fract_x
_atom_site_fract_y
_atom_site_fract_z
La1 La 0.000 0.000 0.000
La2 La 0.500 0.500 0.500
In1 In 0.000 0.000 0.500
As1 As 0.500 0.500 0.000
```

=====

--- ii ---
VASP calculation (SCAN) on La2InAs at its PBEsol-relaxed geometry.

- DOS(E_F) (states/eV/atom) = 1.01
- V (Å³ per atom) = 28.6

Geometry as CIF:
```
data_La2InAs
_chemical_formula_sum 'La4 In2 As2'
_space_group_name_H-M_alt 'C m m 2'
_space_group_IT_number 35
_cell_length_a 4.956
_cell_length_b 5.372
_cell_length_c 8.596
_cell_angle_alpha 90.00
_cell_angle_beta 90.00
_cell_angle_gamma 90.00
loop_
_space_group_symop_operation_xyz
'x,y,z'
'-x,-y,z'
'-x,y,z'
'x,-y,z'
'x+1/2,y+1/2,z'
'-x+1/2,-y+1/2,z'
'-x+1/2,y+1/2,z'
'x+1/2,-y+1/2,z'
loop_
_atom_site_label
_atom_site_type_symbol
_atom_site_fract_x
_atom_site_fract_y
_atom_site_fract_z
La1 La 0.000 0.000 0.000
La2 La 0.000 0.500 0.369
In1 In 0.000 0.000 0.619
As1 As 0.000 0.500 0.790
```

=====

What should be chosen as the least stable of them? Choose ii.